A relaxed structure of OsW3F. Source: Alexandria, functional GGA+U.

## Properties
- Total magnetization: 1.72 μB/atom
- Relative energy among the computed polymorphs: 0.84 eV per formula unit

abc: 5.0638 5.0638 5.0638
angles: 90.00 90.00 90.00
Last column: nearest neighbours and their distance in Å.
Positions (direct):
Os: 0.0000 0.0000 0.0000  6 W 2.53
W: 0.0000 0.0000 0.5000  2 Os 2.53
W: 0.0000 0.5000 0.0000  2 Os 2.53
W: 0.5000 0.0000 0.0000  2 Os 2.53
F: 0.5000 0.5000 0.5000  12 W 3.58